Entry 1:
VASP calculation (PBE) on a relaxed structure of CaBeFe2.

```
CaBeFe2
1.0
-2.753 3.077 -1.487
-1.740 0.509 3.997
4.328 0.374 -0.624
Be Ca Fe
1 1 2
Cartesian
-2.247 1.793 1.255 Be
-0.336 2.622 -0.429 Ca
0.000 0.000 0.000 Fe
0.171 1.338 2.313 Fe
```

Output
- Calculated total energy: -0.187 Ha/atom
- Spin magnetization: 4.356 μB/cell
- Energy of formation: 567 meV per atom
- Space-group type: I-4m2

***

Entry 2:
VASP calculation (PBE) on a relaxed structure of NaY2FeS.

```
NaY2FeS
1.0
-2.014 4.832 -0.033
-4.339 -1.818 -1.354
-1.349 -0.528 5.031
Y Na S Fe
2 1 1 1
Cartesian
-0.674 -0.264 2.516 Y
-1.007 2.416 -0.017 Y
-2.170 -0.909 -0.677 Na
0.000 0.000 0.000 S
-3.851 1.243 1.822 Fe
```

Output
- Calculated total energy: -0.201 Ha/atom
- Spin magnetization: 1.445 μB/cell
- Space-group type: P4/mmm

***

Entry 3:
VASP calculation (PBE) on a relaxed structure of LiSm2BePt6.

```
LiSm2BePt6
1.0
-1.446 -5.362 0.901
4.914 -0.380 5.619
-2.446 -1.477 4.844
Li Sm Be Pt
1 2 1 6
Cartesian
1.734 -2.871 3.260 Li
-0.319 -5.003 4.841 Sm
1.341 -2.216 6.523 Sm
0.000 0.000 0.000 Be
-0.541 -2.145 3.929 Pt
0.371 -5.795 9.798 Pt
1.076 -3.180 9.359 Pt
-0.054 -4.039 2.006 Pt
0.651 -1.424 1.566 Pt
1.563 -5.074 7.435 Pt
```

Output
- Calculated total energy: -0.218 Ha/atom
- Spin magnetization: 0.000 μB/cell
- Energy of formation: -806 meV per atom
- Space-group type: C2/m

***

Entry 4:
VASP calculation (PBE) on a relaxed structure of LiMn2Br.

```
LiMn2Br
1.0
-3.291 -1.848 -0.072
4.752 -4.603 0.227
0.420 -0.860 3.543
Br Li Mn
1 1 2
Cartesian
2.586 -2.731 1.885 Br
0.731 -3.225 0.078 Li
0.000 0.000 0.000 Mn
-1.436 -1.354 1.736 Mn
```

Output
- Calculated total energy: -0.192 Ha/atom
- Spin magnetization: 8.504 μB/cell
- Energy above the lowest structure with this stoichiometry: 210 meV/atom
- Space-group type: C2/m

***

Entry 5:
VASP calculation (PBE) on a relaxed structure of Pt2AuSe.

```
Pt2AuSe
1.0
-2.239 -3.587 -2.335
0.829 -3.811 2.850
-1.828 4.288 1.267
Au Pt Se
1 2 1
Cartesian
-2.386 -1.499 -0.405 Au
0.000 0.000 0.000 Pt
-0.852 -1.611 2.187 Pt
-0.705 -3.699 0.258 Se
```

Output
- Calculated total energy: -0.163 Ha/atom
- Spin magnetization: 0.000 μB/cell
- Space-group type: I-4m2

***

Entry 6:
VASP calculation (PBE) on a relaxed structure of Y2ThCd.

```
Y2ThCd
1.0
-0.955 -0.766 5.371
1.737 -4.604 2.477
4.168 0.211 3.596
Y Th Cd
2 1 1
Cartesian
4.167 0.211 3.596 Y
1.237 -1.290 2.861 Y
2.475 -2.580 5.722 Th
3.713 -3.869 8.583 Cd
```

Output
- Calculated total energy: -0.193 Ha/atom
- Spin magnetization: 1.018 μB/cell
- Energy above the lowest structure with this stoichiometry: 234 meV/atom
- Energy of formation: 60 meV per atom
- Space-group type: F-43m